# 1
A relaxed structure of K3Ce3HoS8, computed with PBE.

The structure in POSCAR format:
```
K3Ce3HoS8
1.0
8.269 0.001 -0.001
-4.134 7.158 -0.028
-0.001 -4.747 7.451
S Ho K Ce
8 1 3 3
Direct
0.229 0.458 0.696 S
0.265 0.530 0.295 S
0.229 0.967 0.696 S
0.738 0.967 0.695 S
0.262 0.033 0.305 S
0.771 0.542 0.304 S
0.735 0.470 0.705 S
0.771 0.033 0.304 S
0.000 0.000 0.500 Ho
0.000 0.000 0.000 K
0.500 0.500 0.000 K
0.000 0.500 0.000 K
0.500 0.500 0.500 Ce
0.500 0.000 0.500 Ce
0.000 0.500 0.500 Ce
```

Energy relative to the elements, uncorrected: -1.8382 eV per atom

# 2
A relaxed structure of BaTl2GaSb, computed with PBE.

The structure in POSCAR format:
```
BaTl2GaSb
1.0
-2.899 -2.808 -3.589
5.200 -2.777 -2.028
-0.685 -3.937 3.634
Ga Sb Ba Tl
1 1 1 2
Direct
0.000 0.000 0.000 Ga
0.500 0.500 0.500 Sb
0.000 0.500 0.000 Ba
0.500 0.000 0.000 Tl
0.000 0.000 0.500 Tl
```

Energy relative to the elements, uncorrected: -0.0058 eV per atom

# 3
A relaxed structure of CuGe2Au, computed with PBE.

The structure in POSCAR format:
```
CuGe2Au
1.0
-1.305 -3.451 -2.764
-3.577 -2.663 1.169
-3.958 0.296 -2.344
Ge Cu Au
2 1 1
Direct
0.750 0.750 0.750 Ge
0.250 0.250 0.250 Ge
0.000 0.000 0.000 Cu
0.500 0.500 0.500 Au
```

E_form: 0.1969 eV/atom
ΔE to the lowest computed polymorph: 53.6 meV per atom

no.,E_tot (eV/atom),V (Å³/cell)
1,-5.75,440.0
2,-2.77,181.9
3,-3.96,69.3